1.
This record from the Alexandria database describes a relaxed structure of CsLiSiH6. The functional is PBE.

Unit cell a=4.7553 b=4.7552 c=6.1648 alpha=90.00 beta=90.00 gamma=60.00
With the nearest neighbours (Å) after each atom.
Sites, in units of the cell vectors:
Cs1 0.0000 0.0000 0.0000  6 H 2.80
Li1 0.6666 0.6667 0.5000  6 H 1.93
Si1 0.3333 0.3333 0.5000  6 H 1.61
H1 0.0496 0.3499 0.3490  1 Si 1.61
H2 0.3499 0.0496 0.6510  1 Si 1.61
H3 0.6005 0.3499 0.6510  1 Si 1.61
H4 0.0496 0.6005 0.6510  1 Si 1.61
H5 0.3499 0.6005 0.3490  1 Si 1.61
H6 0.6005 0.0496 0.3490  1 Si 1.61

Summary:
Calculated total energy = -29.7 eV per cell
Crystal system = trigonal
Symmetry = P312 (149)
Mass density = 2393 kg/m3

2.
This record from the Alexandria database describes a relaxed structure of CsLiSi2H. The functional is PBE.

Unit cell a=4.3291 b=8.0781 c=4.3291 alpha=90.00 beta=90.00 gamma=90.00
With the nearest neighbours (Å) after each atom.
Sites, in units of the cell vectors:
Cs1 0.0000 0.5000 0.0000  4 H 3.06
H1 0.5000 0.5000 0.5000  4 Cs 3.06
Si1 0.0000 0.0000 0.5000  2 Li 2.16
Si2 0.5000 0.0000 0.0000  2 Li 2.16
Li1 0.0000 0.0000 0.0000  4 Si 2.16

Summary:
Calculated total energy = -13.0 eV per cell
Crystal system = tetragonal
Symmetry = P4/mmm (123)
Mass density = 2161 kg/m3

3.
This record from the Alexandria database describes a relaxed structure of CsLiTcH2. The functional is PBE.

Unit cell a=4.7221 b=7.5203 c=4.7221 alpha=90.00 beta=90.00 gamma=90.00
With the nearest neighbours (Å) after each atom.
Sites, in units of the cell vectors:
Cs1 0.0000 0.0000 0.0000  4 H 2.36
H1 0.0000 0.0000 0.5000  2 Cs 2.36
H2 0.5000 0.0000 0.0000  2 Cs 2.36
Tc1 0.0000 0.5000 0.0000  4 Li 3.34
Li1 0.5000 0.5000 0.5000  4 Tc 3.34

Summary:
Calculated total energy = -11.4 eV per cell
Crystal system = tetragonal
Symmetry = P4/mmm (123)
Mass density = 2375 kg/m3

4.
This record from the Alexandria database describes a relaxed structure of Cs2LiTcH6. The functional is PBE.

Unit cell a=5.1246 b=6.3046 c=6.3046 alpha=120.00 beta=90.00 gamma=90.00
With the nearest neighbours (Å) after each atom.
Sites, in units of the cell vectors:
Cs1 0.2657 0.3333 0.6667  12 H 3.19-3.47
Cs2 0.7343 0.6667 0.3333  12 H 3.19-3.47
Li1 0.5000 0.0000 0.0000  6 H 2.04
Tc1 0.0000 0.0000 0.0000  6 H 1.80
H1 0.7858 0.1304 0.2607  1 Tc 1.80
H2 0.7858 0.1304 0.8696  1 Tc 1.80
H3 0.7858 0.7393 0.8696  1 Tc 1.80
H4 0.2142 0.8696 0.1304  1 Tc 1.80
H5 0.2142 0.2607 0.1304  1 Tc 1.80
H6 0.2142 0.8696 0.7393  1 Tc 1.80

Summary:
Calculated total energy = -35.6 eV per cell
Crystal system = trigonal
Symmetry = P-3m1 (164)
Mass density = 3547 kg/m3

5.
This record from the Alexandria database describes a relaxed structure of Cs2LiTeH. The functional is PBE.

Unit cell a=6.8420 b=4.8049 c=6.8420 alpha=90.00 beta=90.00 gamma=90.00
With the nearest neighbours (Å) after each atom.
Sites, in units of the cell vectors:
Cs1 0.0000 0.0000 0.5000  2 Li 3.42
Cs2 0.5000 0.0000 0.0000  2 Li 3.42
H1 0.5000 0.5000 0.5000  8 Cs 4.18
Te1 0.0000 0.5000 0.0000  2 Li 2.40
Li1 0.0000 0.0000 0.0000  2 Te 2.40

Summary:
Calculated total energy = -12.0 eV per cell
Crystal system = tetragonal
Symmetry = P4/mmm (123)
Mass density = 2963 kg/m3

6.
This record from the Alexandria database describes a relaxed structure of CsLiYH2. The functional is PBE.

Unit cell a=4.4216 b=7.5456 c=4.4216 alpha=90.00 beta=90.00 gamma=90.00
With the nearest neighbours (Å) after each atom.
Sites, in units of the cell vectors:
Cs1 0.0000 0.5000 0.0000  4 Li 3.13
Y1 0.0000 0.0000 0.0000  4 H 2.21
H1 0.0000 0.0000 0.5000  2 Y 2.21
H2 0.5000 0.0000 0.0000  2 Y 2.21
Li1 0.5000 0.5000 0.5000  4 Cs 3.13

Summary:
Calculated total energy = -13.6 eV per cell
Crystal system = tetragonal
Symmetry = P4/mmm (123)
E above lowest polymorph = 0.259 eV/atom
Mass density = 2598 kg/m3